Material: PrSc2AlAu4
Method: DFT, GGA-PBE
State: relaxed

Structure (extended XYZ):
```
8
Lattice="-4.546 0.868 -0.836 -2.600 -3.137 -2.349 -4.520 -4.655 6.512" Properties=species:S:1:pos:R:3 pbc="T T T"
Al -5.833 -3.462 1.663
Sc -8.670 -5.049 2.215
Sc -2.996 -1.876 1.112
Au -7.953 -3.742 -0.325
Au -6.488 -4.658 3.986
Au -3.712 -3.183 3.652
Pr 0.000 0.000 0.000
Au -5.177 -2.267 -0.659
```

Results
* SG: R-3m, No. 166
* magnetic moment: 0.000 μB per atom
* ρ: 10.321 g/cm3
* final energy: -5.000 eV/atom